## w
The following is a DFT calculation (PBE) of a geometry-optimized Ce2CuC structure.

Calculated values
N(E_F) (states/eV/atom): 1.714

Structure (POSCAR):
```
Ce2CuC
1.0
-0.159 -1.810 2.823
-0.873 -3.239 -0.129
8.023 -3.901 -0.054
Ce C Cu
2 1 1
Direct
0.890 0.890 0.331
0.110 0.110 0.669
0.500 0.500 0.500
0.000 0.000 0.000
```

## x
The following is a DFT calculation (PBE) of a geometry-optimized Ce2CuC structure.

Calculated values
N(E_F) (states/eV/atom): 1.821

Structure (POSCAR):
```
Ce2CuC
1.0
-2.434 -0.188 2.089
-1.494 -2.091 -1.929
3.160 -5.222 3.214
Ce Cu C
2 1 1
Direct
0.000 0.000 0.198
0.000 0.000 0.802
0.500 0.500 0.500
0.500 0.500 0.000
```

The most stable of them is x.